Entry from Alexandria: a relaxed structure of Ta2BeAg (PBE).

Lattice parameters (Å, degrees): 3.9231 2.9551 5.7720 75.17 90.00 90.00
Last column: nearest neighbours and their distance in Å.
Element x y z (fractional)
1 Be 0.5000 0.5509 0.7714  2 Ag 2.43, 5 Ta 2.64-2.69
2 Ag 0.0000 0.6803 0.5152  2 Be 2.43
3 Ta 0.0000 0.9516 0.9692  4 Be 2.69, 6 Ta 2.89-2.96, 2 Ag 2.93-2.94
4 Ta 0.5000 0.3172 0.2441  1 Be 2.64, 4 Ag 2.88-2.89, 4 Ta 2.89-2.90

Summary:
The value obtained for the density of states at the Fermi level is 3.030 states/eV/f.u. The energy of formation from the pure elements is 248 meV per atom. Its space-group type is Pm. The uncorrected energy is -29.3 eV per formula unit.